#i
Density functional theory data (PBE) for crystalline ZnRuAu3 at its relaxed geometry.

crystal system	cubic

a b c (Å): 4.725 4.725 4.725
angles (deg): 90.00 90.00 90.00
Site moments in Bohr magnetons follow the coordinates.
Element x y z (fractional)
Ru (0.500, 0.500, 0.500)  2.21
Zn (0.000, 0.000, 0.000)  -0.01
Au (0.000, 0.500, 0.000)  -0.04
Au (0.000, 0.000, 0.500)  -0.01
Au (0.500, 0.000, 0.000)  -0.02

---

#ii
Density functional theory data (PBE) for crystalline ZnRuAu3 at its relaxed geometry.

crystal system	cubic

a b c (Å): 5.057 5.057 5.057
angles (deg): 90.00 90.00 90.00
Site moments in Bohr magnetons follow the coordinates.
Element x y z (fractional)
Ru (0.000, 0.000, 0.000)  1.81
Zn (0.500, 0.500, 0.500)  0.02
Au (0.000, 0.500, 0.000)  0.15
Au (0.000, 0.000, 0.500)  0.29
Au (0.500, 0.000, 0.000)  0.07

---

Which structure is the most stable? The one labeled #i.

---

#i
Density functional theory data (PBE) for crystalline ZnRu3Au at its relaxed geometry.

crystal system	cubic

a b c (Å): 4.537 4.537 4.537
angles (deg): 90.00 90.00 90.00
Site moments in Bohr magnetons follow the coordinates.
Element x y z (fractional)
Ru (0.000, 0.500, 0.000)  1.76
Ru (0.000, 0.000, 0.500)  2.05
Ru (0.500, 0.000, 0.000)  1.45
Zn (0.000, 0.000, 0.000)  0.02
Au (0.500, 0.500, 0.500)  0.09

---

#ii
Density functional theory data (PBE) for crystalline ZnRu3Au at its relaxed geometry.

crystal system	cubic

a b c (Å): 4.886 4.886 4.886
angles (deg): 90.00 90.00 90.00
Site moments in Bohr magnetons follow the coordinates.
Element x y z (fractional)
Ru (0.000, 0.500, 0.000)  1.77
Ru (0.000, 0.000, 0.500)  2.58
Ru (0.500, 0.000, 0.000)  1.28
Zn (0.500, 0.500, 0.500)  -0.01
Au (0.000, 0.000, 0.000)  0.28

---

Which structure is the most stable? The one labeled #i.

---

#i
Density functional theory data (PBE) for crystalline Zr4RuAu at its relaxed geometry.

crystal system	tetragonal

a b c (Å): 4.595 4.595 6.578
angles (deg): 90.00 90.00 90.00
Element x y z (fractional)
Zr (0.500, 0.000, 0.737)
Zr (0.000, 0.500, 0.737)
Zr (0.500, 0.000, 0.263)
Zr (0.000, 0.500, 0.263)
Ru (0.500, 0.500, 0.500)
Au (0.000, 0.000, 0.000)

---

#ii
Density functional theory data (PBE) for crystalline Zr4RuAu at its relaxed geometry.

crystal system	cubic

a b c (Å): 5.567 5.567 5.567
angles (deg): 60.00 60.00 60.00
Element x y z (fractional)
Zr (0.879, 0.374, 0.374)
Zr (0.374, 0.374, 0.879)
Zr (0.374, 0.879, 0.374)
Zr (0.374, 0.374, 0.374)
Ru (0.000, 0.000, 0.000)
Au (0.750, 0.750, 0.750)

---

Which structure is the most stable? The one labeled #i.

---

#i
Density functional theory data (PBE) for crystalline Sb2Au2S at its relaxed geometry.

crystal system	tetragonal

a b c (Å): 7.537 7.537 3.914
angles (deg): 90.00 90.00 90.00
Element x y z (fractional)
Sb (0.166, 0.666, 0.500)
Sb (0.666, 0.834, 0.500)
Sb (0.834, 0.334, 0.500)
Sb (0.334, 0.166, 0.500)
S (0.000, 0.000, 0.000)
S (0.500, 0.500, 0.000)
Au (0.365, 0.865, 0.000)
Au (0.865, 0.635, 0.000)
Au (0.635, 0.135, 0.000)
Au (0.135, 0.365, 0.000)

---

#ii
Density functional theory data (PBE) for crystalline Sb2Au2S at its relaxed geometry.

crystal system	tetragonal

a b c (Å): 7.708 7.708 3.918
angles (deg): 90.00 90.00 90.00
Element x y z (fractional)
Sb (0.306, 0.806, 0.000)
Sb (0.806, 0.694, 0.000)
Sb (0.694, 0.194, 0.000)
Sb (0.194, 0.306, 0.000)
S (0.000, 0.000, 0.000)
S (0.500, 0.500, 0.000)
Au (0.126, 0.626, 0.500)
Au (0.626, 0.874, 0.500)
Au (0.874, 0.374, 0.500)
Au (0.374, 0.126, 0.500)

---

Which structure is the most stable? The one labeled #ii.

---

#i
Density functional theory data (PBE) for crystalline Sb3AuS at its relaxed geometry.

crystal system	monoclinic

a b c (Å): 4.302 8.898 6.901
angles (deg): 101.47 90.00 90.00
Element x y z (fractional)
Sb (0.750, 0.625, 0.445)
Sb (0.250, 0.375, 0.555)
Sb (0.750, 0.370, 0.033)
Sb (0.250, 0.004, 0.703)
Sb (0.250, 0.630, 0.967)
Sb (0.750, 0.996, 0.297)
Au (0.250, 0.803, 0.344)
Au (0.750, 0.197, 0.656)
S (0.250, 0.249, 0.178)
S (0.750, 0.751, 0.822)

---

#ii
Density functional theory data (PBE) for crystalline Sb3AuS at its relaxed geometry.

crystal system	cubic

a b c (Å): 5.368 5.368 5.368
angles (deg): 90.00 90.00 90.00
Element x y z (fractional)
Sb (0.000, 0.500, 0.000)
Sb (0.000, 0.000, 0.500)
Sb (0.500, 0.000, 0.000)
S (0.500, 0.500, 0.500)
Au (0.000, 0.000, 0.000)

---

Which structure is the most stable? The one labeled #i.

---

#i
Density functional theory data (PBE) for crystalline SbAuS3 at its relaxed geometry.

crystal system	cubic

a b c (Å): 4.806 4.806 4.806
angles (deg): 90.00 90.00 90.00
Element x y z (fractional)
Sb (0.500, 0.500, 0.500)
S (0.000, 0.500, 0.000)
S (0.000, 0.000, 0.500)
S (0.500, 0.000, 0.000)
Au (0.000, 0.000, 0.000)

---

#ii
Density functional theory data (PBE) for crystalline SbAuS3 at its relaxed geometry.

crystal system	monoclinic

a b c (Å): 6.245 8.561 11.134
angles (deg): 105.18 90.00 90.00
Element x y z (fractional)
Sb (0.717, 0.005, 0.743)
Sb (0.283, 0.995, 0.257)
Sb (0.217, 0.495, 0.757)
Sb (0.783, 0.505, 0.243)
Au (0.274, 0.490, 0.400)
Au (0.726, 0.510, 0.600)
Au (0.774, 0.010, 0.100)
Au (0.226, 0.990, 0.900)
S (0.022, 0.686, 0.661)
S (0.978, 0.314, 0.339)
S (0.522, 0.814, 0.839)
S (0.478, 0.186, 0.161)
S (0.596, 0.651, 0.452)
S (0.404, 0.349, 0.548)
S (0.096, 0.849, 0.048)
S (0.904, 0.151, 0.952)
S (0.140, 0.634, 0.262)
S (0.860, 0.366, 0.738)
S (0.640, 0.866, 0.238)
S (0.360, 0.134, 0.762)

---

Which structure is the most stable? The one labeled #ii.

---

#i
Density functional theory data (PBE) for crystalline SbAu3S at its relaxed geometry.

crystal system	cubic

a b c (Å): 4.853 4.853 4.853
angles (deg): 90.00 90.00 90.00
Element x y z (fractional)
Sb (0.500, 0.500, 0.500)
S (0.000, 0.000, 0.000)
Au (0.000, 0.500, 0.000)
Au (0.000, 0.000, 0.500)
Au (0.500, 0.000, 0.000)

---

#ii
Density functional theory data (PBE) for crystalline SbAu3S at its relaxed geometry.

crystal system	cubic

a b c (Å): 5.225 5.225 5.225
angles (deg): 90.00 90.00 90.00
Site moments in Bohr magnetons follow the coordinates.
Element x y z (fractional)
Sb (0.000, 0.000, 0.000)  0.07
S (0.500, 0.500, 0.500)  0.93
Au (0.000, 0.500, 0.000)  0.14
Au (0.000, 0.000, 0.500)  0.05
Au (0.500, 0.000, 0.000)  0.12

---

Which structure is the most stable? The one labeled #i.

---

#i
Density functional theory data (PBE) for crystalline ScAuS2 at its relaxed geometry.

crystal system	monoclinic

a b c (Å): 9.807 5.110 3.853
angles (deg): 91.70 66.87 90.67
Element x y z (fractional)
Sc (0.402, 0.775, 0.193)
Sc (0.174, 0.275, 0.920)
S (0.595, 0.776, 0.500)
S (0.981, 0.276, 0.614)
S (0.208, 0.775, 0.887)
S (0.368, 0.275, 0.227)
Au (0.788, 0.526, 0.057)
Au (0.788, 0.026, 0.557)

---

#ii
Density functional theory data (PBE) for crystalline ScAuS2 at its relaxed geometry.

crystal system	trigonal

a b c (Å): 7.661 7.661 7.661
angles (deg): 28.87 28.87 28.87
Element x y z (fractional)
Sc (0.500, 0.500, 0.500)
S (0.895, 0.895, 0.895)
S (0.105, 0.105, 0.105)
Au (0.000, 0.000, 0.000)

---

#iii
Density functional theory data (PBE) for crystalline ScAuS2 at its relaxed geometry.

crystal system	orthorhombic

a b c (Å): 12.180 12.180 3.775
angles (deg): 90.00 90.00 163.30
Element x y z (fractional)
Sc (0.320, 0.680, 0.250)
Sc (0.680, 0.320, 0.750)
S (0.207, 0.793, 0.250)
S (0.793, 0.207, 0.750)
S (0.899, 0.101, 0.250)
S (0.101, 0.899, 0.750)
Au (0.039, 0.961, 0.250)
Au (0.961, 0.039, 0.750)

---

Which structure is the most stable? The one labeled #ii.